Entry 1:
A plane-wave DFT calculation with PBE was carried out for LaSeIO2 after structural relaxation.

a b c (Å): 4.3987 4.3987 5.3689
angles (deg): 90.00 90.00 90.00
Closest atoms and distances in Å follow each position.
Fractional coordinates of all 5 atoms:
La: 0.5000 0.5000 0.5000  4 I 3.11, 8 O 3.47
O: 0.5000 0.0000 0.0000  2 Se 2.20
O: 0.0000 0.5000 0.0000  2 Se 2.20
I: 0.0000 0.0000 0.5000  2 Se 2.68
Se: 0.0000 0.0000 0.0000  4 O 2.20

Output
The calculation puts the uncorrected formation energy at -486.2 meV/atom. The total energy is -4.462 eV per atom. The value obtained for the energy above the lowest structure with this stoichiometry is 2.92 eV per formula unit. As for the space-group type: P4/mmm (123). For the density of states at the Fermi level, the calculation gives 1.7 states/eV/cell.

=====

Entry 2:
A plane-wave DFT calculation with PBE was carried out for Ba5In5O12 after structural relaxation.

a b c (Å): 6.0091 7.3364 9.7719
angles (deg): 108.15 107.33 88.51
Closest atoms and distances in Å follow each position.
Fractional coordinates of all 22 atoms:
Ba: 0.7012 0.2833 0.3998  4 O 2.65-2.94
In: 0.5000 0.0000 0.0000  4 O 2.15-2.19
O: 0.0000 0.5000 0.0000  2 In 2.22
O: 0.5517 0.4788 0.7312  2 In 2.13-2.15
O: 0.1855 0.2830 0.3908  2 In 2.20-2.21
In: 0.9098 0.5838 0.7914  5 O 2.13-2.22
Ba: 0.2988 0.7167 0.6002  4 O 2.65-2.94
O: 0.5000 0.0000 0.5000  2 In 2.13
O: 0.8145 0.7170 0.6092  2 In 2.20-2.21
Ba: 0.1092 0.9032 0.2003  6 O 2.66-2.97
Ba: 0.5000 0.5000 0.0000  6 O 2.69-3.00
O: 0.3974 0.0968 0.8006  2 In 2.19-2.29
O: 0.0173 0.3229 0.6653  2 In 2.11-2.13
O: 0.1801 0.8187 0.9129  2 In 2.15-2.18
O: 0.4483 0.5212 0.2688  2 In 2.13-2.15
In: 0.3217 0.2273 0.6082  5 O 2.11-2.29
O: 0.6026 0.9032 0.1994  2 In 2.19-2.29
In: 0.0902 0.4162 0.2086  5 O 2.13-2.22
O: 0.9827 0.6771 0.3347  2 In 2.11-2.13
O: 0.8199 0.1813 0.0871  2 In 2.15-2.18
Ba: 0.8908 0.0968 0.7997  6 O 2.66-2.97
In: 0.6783 0.7727 0.3918  5 O 2.11-2.29

Output
The calculation puts the uncorrected formation energy at -1954.4 meV/atom. The total energy is -5.718 eV per atom. As for the space-group type: P-1 (2). For the density of states at the Fermi level, the calculation gives 1.5 states/eV/cell.

=====

Entry 3:
A plane-wave DFT calculation with PBE was carried out for Zn2OsRh after structural relaxation.

a b c (Å): 4.2879 4.2879 4.2879
angles (deg): 60.00 60.00 60.00
Closest atoms and distances in Å follow each position.
Fractional coordinates of all 4 atoms:
Rh: 0.0000 0.0000 0.0000  8 Zn 2.63
Zn: 0.7500 0.7500 0.7500  4 Os 2.63, 4 Rh 2.63
Zn: 0.2500 0.2500 0.2500  4 Os 2.63, 4 Rh 2.63
Os: 0.5000 0.5000 0.5000  8 Zn 2.63

Output
The total energy is -5.153 eV per atom. The value obtained for the energy above the lowest structure with this stoichiometry is 0.56 eV per formula unit. As for the space-group type: Fm-3m (225). Its formation energy is 0.129 eV/atom. For the density of states at the Fermi level, the calculation gives 5.5 states/eV/cell.

=====

Entry 4:
A plane-wave DFT calculation with PBE was carried out for NaAuF2 after structural relaxation.

a b c (Å): 3.2784 3.2784 13.5537
angles (deg): 90.00 90.00 120.00
Closest atoms and distances in Å follow each position.
Fractional coordinates of all 8 atoms:
F: 0.0000 0.0000 0.3472  1 Au 2.07, 3 Na 2.31
F: 0.0000 0.0000 0.6528  1 Au 2.07, 3 Na 2.31
F: 0.0000 0.0000 0.8472  1 Au 2.07, 3 Na 2.31
Au: 0.0000 0.0000 0.5000  2 F 2.07
Au: 0.0000 0.0000 0.0000  2 F 2.07
Na: 0.6667 0.3333 0.7500  6 F 2.31
Na: 0.3333 0.6667 0.2500  6 F 2.31
F: 0.0000 0.0000 0.1528  1 Au 2.07, 3 Na 2.31

Output
The calculation puts the uncorrected formation energy at -1701.2 meV/atom. The total energy is -3.786 eV per atom. As for the space-group type: P6_3/mmc (194).

=====

Entry 5:
A plane-wave DFT calculation with PBE was carried out for Ta2AgW after structural relaxation.

a b c (Å): 2.7594 2.7594 9.2151
angles (deg): 90.00 90.00 90.00
Closest atoms and distances in Å follow each position.
Fractional coordinates of all 4 atoms:
Ag: 0.5000 0.5000 0.7462  4 Ag 2.76, 4 W 2.97, 4 Ta 3.04
Ta: 0.0000 0.0000 0.9985  8 Ta 2.76-3.05, 4 Ag 3.04
W: 0.0000 0.0000 0.5030  4 W 2.76, 4 Ag 2.97, 4 Ta 3.02
Ta: 0.5000 0.5000 0.2524  8 Ta 2.76-3.05, 4 W 3.02

Output
The total energy is -9.589 eV per atom. The value obtained for the energy above the lowest structure with this stoichiometry is 0.73 eV per formula unit. As for the space-group type: P4mm (99). Its formation energy is 0.288 eV/atom. For the density of states at the Fermi level, the calculation gives 2.3 states/eV/cell.

=====

Entry 6:
A plane-wave DFT calculation with PBE was carried out for RbAs2BrCl after structural relaxation.

a b c (Å): 7.6186 7.6186 6.3155
angles (deg): 90.00 90.00 90.00
Closest atoms and distances in Å follow each position.
Fractional coordinates of all 5 atoms:
Cl: 0.5000 0.5000 0.5000  8 As 4.95, 4 Br 5.39
Br: 0.0000 0.0000 0.5000  2 Rb 3.16
As: 0.5000 0.0000 0.0000  2 Rb 3.81
Rb: 0.0000 0.0000 0.0000  2 Br 3.16
As: 0.0000 0.5000 0.0000  2 Rb 3.81

Output
The calculation puts the uncorrected formation energy at 841.7 meV/atom. The total energy is -1.916 eV per atom. The value obtained for the energy above the lowest structure with this stoichiometry is 3.71 eV per formula unit. As for the space-group type: P4/mmm (123). For the density of states at the Fermi level, the calculation gives 17.2 states/eV/cell.